No. 1
This record from Alexandria describes SrCuTeS3 after structural relaxation. The functional is PBE-GGA.

a b c (Å): 8.333 4.328 8.510
angles (deg): 90.00 98.11 90.00
Space group P2_1/m (No. 11)
One atom of each set of equivalent atoms:
Sr 0.185 0.250 0.255
Cu 0.073 0.250 0.593
Te 0.305 0.750 0.862
S 0.137 0.250 0.868
S 0.197 0.750 0.511
S 0.396 0.750 0.148

## Properties
The crystal system is monoclinic.

No. 2
This record from Alexandria describes SrThCuS4 after structural relaxation. The functional is PBE-GGA.

a b c (Å): 6.827 5.737 8.386
angles (deg): 90.00 107.29 90.00
Space group P2_1/m (No. 11)
One atom of each set of equivalent atoms:
Sr 0.229 0.250 0.437
Th 0.236 0.250 0.937
Cu 0.257 0.750 0.187
S 0.065 0.750 0.367
S 0.078 0.750 0.908
S 0.484 0.514 0.768

## Properties
The crystal system is monoclinic.

No. 3
This record from Alexandria describes Sr2TiCuS5 after structural relaxation. The functional is PBE-GGA.

a b c (Å): 3.774 17.300 11.965
angles (deg): 90.00 90.00 90.00
Space group Cmc2_1 (No. 36)
One atom of each set of equivalent atoms:
Sr 0.000 0.118 0.000
Sr 0.000 0.125 0.629
Ti 0.000 0.202 0.328
Cu 0.000 0.432 0.750
S 0.000 0.060 0.353
S 0.000 0.292 0.965
S 0.000 0.302 0.687
S 0.000 0.342 0.318
S 0.000 0.498 0.588

## Properties
The crystal system is orthorhombic.

No. 4
This record from Alexandria describes Sr2TiCu2S6 after structural relaxation. The functional is PBE-GGA.

a b c (Å): 6.8892 6.8892 18.4352
angles (deg): 90.00 90.00 120.00
Space group R-3m (No. 166, hexagonal axes)
One atom of each set of equivalent atoms:
Sr 0.0000 0.0000 0.2208
Ti 0.0000 0.0000 0.0000
Cu 0.0000 0.0000 0.4136
S 0.0277 0.5138 0.7525

## Properties
The crystal system is trigonal.

No. 5
This record from Alexandria describes Sr3Tm3CuS8 after structural relaxation. The functional is PBE-GGA.

a b c (Å): 7.9170 7.9170 20.2723
angles (deg): 90.00 90.00 120.00
Space group R-3m (No. 166, hexagonal axes)
One atom of each set of equivalent atoms:
Sr 0.0000 0.5000 0.0000
Tm 0.0000 0.5000 0.5000
Cu 0.0000 0.0000 0.5000
S 0.0000 0.0000 0.2418
S 0.0000 0.5000 0.2386

## Properties
The crystal system is trigonal.

No. 6
This record from Alexandria describes Sr2UCu2S5 after structural relaxation. The functional is PBE-GGA.

a b c (Å): 13.090 3.971 9.367
angles (deg): 90.00 116.04 90.00
Space group C2/m (No. 12)
One atom of each set of equivalent atoms:
Sr 0.171 0.000 0.202
U 0.000 0.000 0.500
Cu 0.060 0.500 0.800
S 0.000 0.500 0.000
S 0.115 0.500 0.429
S 0.156 0.000 0.804

## Properties
The crystal system is monoclinic.

No. 7
This record from Alexandria describes Sr2UCu2S6 after structural relaxation. The functional is PBE-GGA.

a b c (Å): 6.9236 6.9236 6.5548
angles (deg): 90.00 90.00 120.00
Space group P-3 (No. 147)
One atom of each set of equivalent atoms:
Sr 0.3333 0.6667 0.3795
U 0.0000 0.0000 0.0000
Cu 0.3333 0.6667 0.8456
S 0.0655 0.3252 0.7602

## Properties
The crystal system is trigonal.

No. 8
This record from Alexandria describes Sr2UCuS5 after structural relaxation. The functional is PBE-GGA.

a b c (Å): 4.009 17.210 12.405
angles (deg): 90.00 90.00 90.00
Space group Cmc2_1 (No. 36)
One atom of each set of equivalent atoms:
Sr 0.000 0.107 0.000
Sr 0.000 0.115 0.639
U 0.000 0.202 0.332
Cu 0.000 0.431 0.742
S 0.000 0.055 0.339
S 0.000 0.293 0.976
S 0.000 0.301 0.687
S 0.000 0.352 0.323
S 0.000 0.500 0.084

## Properties
The crystal system is orthorhombic.

No. 9
This record from Alexandria describes Sr2UCuS6 after structural relaxation. The functional is PBE-GGA.

a b c (Å): 6.809 7.285 11.498
angles (deg): 90.00 125.16 90.00
Space group P2_1/c (No. 14)
One atom of each set of equivalent atoms:
Sr 0.225 0.083 0.247
U 0.500 0.000 0.000
Cu 0.000 0.000 0.500
S 0.152 0.191 0.952
S 0.261 0.701 0.955
S 0.326 0.015 0.735

## Properties
The crystal system is monoclinic.

No. 10
This record from Alexandria describes SrUCuS5 after structural relaxation. The functional is PBE-GGA.

a b c (Å): 7.870 11.422 9.733
angles (deg): 90.00 112.02 90.00
Space group C2/c (No. 15)
One atom of each set of equivalent atoms:
Sr 0.000 0.172 0.250
U 0.000 0.500 0.000
Cu 0.000 0.177 0.750
S 0.000 0.429 0.250
S 0.085 0.290 0.592
S 0.165 0.046 0.927

## Properties
The crystal system is monoclinic.

No. 11
This record from Alexandria describes SrU2CuS5 after structural relaxation. The functional is PBE-GGA.

a b c (Å): 7.477 7.477 13.435
angles (deg): 90.00 90.00 90.00
Space group I4/mcm (No. 140)
One atom of each set of equivalent atoms:
Sr 0.000 0.000 0.250
U 0.153 0.347 0.000
Cu 0.000 0.500 0.250
S 0.000 0.000 0.000
S 0.156 0.344 0.366

## Properties
The crystal system is tetragonal.

No. 12
This record from Alexandria describes SrU3Cu4S12 after structural relaxation. The functional is PBE-GGA.

a b c (Å): 13.4582 13.4582 9.6519
angles (deg): 90.00 90.00 120.00
Space group R32 (No. 155, hexagonal axes)
One atom of each set of equivalent atoms:
Sr 0.0000 0.0000 0.0000
U 0.0000 0.5603 0.0000
Cu 0.0000 0.0000 0.5000
Cu 0.0000 0.4295 0.5000
S 0.0000 0.5974 0.5000
S 0.0000 0.8389 0.5000
S 0.0527 0.2122 0.1863

## Properties
The crystal system is trigonal.

No. 13
This record from Alexandria describes SrUCu2S4 after structural relaxation. The functional is PBE-GGA.

a b c (Å): 6.470 7.002 7.741
angles (deg): 90.00 90.00 90.00
Space group I222 (No. 23)
One atom of each set of equivalent atoms:
Sr 0.000 0.000 0.000
U 0.000 0.000 0.500
Cu 0.000 0.500 0.168
S 0.245 0.206 0.298

## Properties
The crystal system is orthorhombic.

No. 14
This record from Alexandria describes SrVCu2S4 after structural relaxation. The functional is PBE-GGA.

a b c (Å): 6.090 7.046 7.819
angles (deg): 90.00 90.00 90.00
Space group I222 (No. 23)
One atom of each set of equivalent atoms:
Sr 0.000 0.000 0.000
V 0.000 0.000 0.500
Cu 0.000 0.500 0.166
S 0.206 0.184 0.670

## Properties
The crystal system is orthorhombic.

No. 15
This record from Alexandria describes Sr2CuWS after structural relaxation. The functional is PBE-GGA.

a b c (Å): 5.788 5.788 4.570
angles (deg): 90.00 90.00 90.00
Space group P4/mmm (No. 123)
One atom of each set of equivalent atoms:
Sr 0.000 0.500 0.000
Cu 0.000 0.000 0.500
W 0.000 0.000 0.000
S 0.500 0.500 0.500

## Properties
The crystal system is tetragonal.

No. 16
This record from Alexandria describes SrY2CuS4 after structural relaxation. The functional is PBE-GGA.

a b c (Å): 3.925 13.158 13.622
angles (deg): 90.00 90.00 90.00
Space group Cmcm (No. 63)
One atom of each set of equivalent atoms:
Sr 0.000 0.117 0.250
Y 0.000 0.371 0.059
Cu 0.000 0.153 0.750
S 0.000 0.000 0.000
S 0.000 0.271 0.619
S 0.000 0.443 0.250

## Properties
The crystal system is orthorhombic.

No. 17
This record from Alexandria describes SrYCuS3 after structural relaxation. The functional is PBE-GGA.

a b c (Å): 8.289 3.936 8.673
angles (deg): 90.00 103.68 90.00
Space group P2_1/m (No. 11)
One atom of each set of equivalent atoms:
Sr 0.187 0.250 0.237
Y 0.328 0.750 0.832
Cu 0.084 0.250 0.588
S 0.106 0.250 0.862
S 0.214 0.750 0.512
S 0.438 0.750 0.163

## Properties
The crystal system is monoclinic.

No. 18
This record from Alexandria describes Sr4Y3CuS8 after structural relaxation. The functional is PBE-GGA.

a b c (Å): 8.0952 8.0952 20.0834
angles (deg): 90.00 90.00 120.00
Space group R-3m (No. 166, hexagonal axes)
One atom of each set of equivalent atoms:
Sr 0.0000 0.0000 0.0000
Sr 0.0000 0.5000 0.0000
Y 0.0000 0.5000 0.5000
Cu 0.0000 0.0000 0.5000
S 0.0000 0.0000 0.2432
S 0.0010 0.5005 0.2418

## Properties
The crystal system is trigonal.

No. 19
This record from Alexandria describes Sr2YCu2S4 after structural relaxation. The functional is PBE-GGA.

a b c (Å): 14.444 3.876 7.162
angles (deg): 90.00 110.36 90.00
Space group C2/m (No. 12)
One atom of each set of equivalent atoms:
Sr 0.134 0.000 0.071
Y 0.000 0.000 0.500
Cu 0.184 0.500 0.498
S 0.026 0.500 0.247
S 0.204 0.000 0.707

## Properties
The crystal system is monoclinic.

no.,formation energy from raw total energies (eV/f.u.)
1,-3.7
2,-10.6
3,-12.2
4,-10.9
5,-26.8
6,-13.8
7,-12.4
8,-13.6
9,-13.0
10,-8.4
11,-12.4
12,-17.4
13,-7.8
14,-6.8
15,4.1
16,-14.0
17,-10.1
18,-29.3
19,-12.2